No. 1
This record from the Alexandria database describes a relaxed structure of KNa3Br. The functional is PBE-GGA.

Unit cell a=6.044 b=6.044 c=6.044 alpha=90.00 beta=90.00 gamma=90.00
Atoms (fractional coordinates):
Na 0.000 0.500 0.000
Na 0.000 0.000 0.500
Na 0.500 0.000 0.000
K 0.500 0.500 0.500
Br 0.000 0.000 0.000

Calculated values
The size of the total moment comes out at 0.0 μB/cell. The raw formation energy is -0.446 eV per atom. Its space group is No. 221.

=====

No. 2
This record from the Alexandria database describes a relaxed structure of Ac2RuPt. The functional is PBE-GGA.

Unit cell a=3.695 b=3.695 c=7.615 alpha=90.00 beta=90.00 gamma=90.00
Atoms (fractional coordinates):
Ru 0.500 0.500 0.000
Ac 0.000 0.000 0.754
Ac 0.000 0.000 0.246
Pt 0.500 0.500 0.500

Calculated values
The size of the total moment comes out at 0.0 μB/cell. The formation energy comes out at -0.4944 eV per atom. Its space group is No. 123.

=====

No. 3
This record from the Alexandria database describes a relaxed structure of DyScPbS. The functional is PBE-GGA.

Unit cell a=3.692 b=3.683 c=8.210 alpha=90.03 beta=103.15 gamma=119.63
Atoms (fractional coordinates):
Dy 0.932 0.365 0.312
Sc 0.343 0.569 0.925
Pb 0.479 0.136 0.632
S 0.125 0.961 0.101

Calculated values
The size of the total moment comes out at 0.0 μB/cell. The raw formation energy is -1.184 eV per atom. Its space group is No. 8.

=====

No. 4
This record from the Alexandria database describes a relaxed structure of Ti2NbInAs. The functional is PBE-GGA.

Unit cell a=4.684 b=4.831 c=4.684 alpha=90.00 beta=90.00 gamma=90.00
Last column: magnetic moment on the atom in μB.
Atoms (fractional coordinates):
Nb 0.000 0.500 0.000  0.25
Ti 0.000 0.000 0.500  0.24
Ti 0.500 0.000 0.000  0.26
As 0.000 0.000 0.000  0.00
In 0.500 0.500 0.500  -0.01

Calculated values
The size of the total moment comes out at 0.9 μB/cell. The formation energy comes out at 0.1568 eV per atom. Its space group is No. 123.

=====

No. 5
This record from the Alexandria database describes a relaxed structure of NpPa6Sb10. The functional is PBE-GGA.

Unit cell a=6.168 b=9.310 c=9.310 alpha=120.00 beta=90.00 gamma=90.00
Last column: magnetic moment on the atom in μB.
Atoms (fractional coordinates):
Np 0.500 0.000 0.000  3.85
Pa 0.747 0.385 0.385  0.84
Pa 0.747 0.000 0.615  0.84
Pa 0.747 0.615 0.000  0.84
Pa 0.253 0.615 0.615  0.84
Pa 0.253 0.000 0.385  0.84
Pa 0.253 0.385 0.000  0.84
Sb 0.764 0.728 0.728  -0.05
Sb 0.764 0.000 0.272  -0.05
Sb 0.764 0.272 0.000  -0.05
Sb 0.236 0.272 0.272  -0.05
Sb 0.236 0.000 0.728  -0.05
Sb 0.236 0.728 0.000  -0.05
Sb 0.500 0.333 0.667  -0.04
Sb 0.500 0.667 0.333  -0.04
Sb 0.000 0.667 0.333  -0.04
Sb 0.000 0.333 0.667  -0.04

Calculated values
The size of the total moment comes out at 9.7 μB/cell. The raw formation energy is -0.482 eV per atom. Its space group is No. 162.

=====

No. 6
This record from the Alexandria database describes a relaxed structure of PrNd5Sm. The functional is PBE-GGA.

Unit cell a=5.925 b=8.070 c=8.070 alpha=66.78 beta=68.46 gamma=68.46
Last column: magnetic moment on the atom in μB.
Atoms (fractional coordinates):
Pr 0.500 0.500 0.500  0.05
Nd 0.500 0.178 0.822  0.01
Nd 0.500 0.822 0.178  0.01
Nd 0.750 0.250 0.250  0.00
Nd 0.250 0.750 0.750  0.00
Nd 0.000 0.500 0.500  0.07
Sm 0.000 0.000 0.000  0.01

Calculated values
The size of the total moment comes out at 0.2 μB/cell. The formation energy comes out at 0.9502 eV per atom. Its space group is No. 71.